Below is a geometry-optimized TmLuCdAu structure, with properties calculated at the GGA-PBE level.

Summary:
The symmetry is F-43m. For the spin magnetization, the calculation gives 0.0 μB/cell. Its formation energy is -576 meV/atom. As for the calculated total energy: -3.872 eV per atom. As for the density of states at the Fermi level: 0.7766 states/eV/atom.

Cell: 5.100 5.100 5.100 Å, 60.00 60.00 60.00°
Fractional positions:
Tm 0.000 0.000 0.000
Lu 0.500 0.500 0.500
Cd 0.750 0.750 0.750
Au 0.250 0.250 0.250

Below is a geometry-optimized CdReBr2 structure, with properties calculated at the GGA-PBE level.

Summary:
The symmetry is I-4m2. For the spin magnetization, the calculation gives 3.6 μB/cell. The raw formation energy comes out at 104.6 kJ per mole of atoms. As for the calculated total energy: -3.093 eV per atom. As for the density of states at the Fermi level: 0.6412 states/eV/atom.

Cell: 6.818 6.818 6.818 Å, 145.95 145.95 48.93°
Fractional positions:
Cd 0.000 0.000 0.000
Re 0.250 0.750 0.500
Br 0.500 0.500 0.000
Br 0.750 0.250 0.500

Below is a geometry-optimized TbTcB3 structure, with properties calculated at the GGA-PBE level.

Summary:
The symmetry is Cmcm. For the spin magnetization, the calculation gives 0.0 μB/cell. Its formation energy is -397 meV/atom. As for the calculated total energy: -7.402 eV per atom. As for the density of states at the Fermi level: 0.4976 states/eV/atom.

Cell: 10.589 10.589 3.100 Å, 90.00 90.00 160.41°
Fractional positions:
Tb 0.081 0.919 0.750
Tb 0.919 0.081 0.250
Tc 0.208 0.792 0.250
Tc 0.792 0.208 0.750
B 0.316 0.684 0.250
B 0.353 0.647 0.750
B 0.486 0.514 0.750
B 0.514 0.486 0.250
B 0.647 0.353 0.250
B 0.684 0.316 0.750

Below is a geometry-optimized Ac5PmTl8 structure, with properties calculated at the GGA-PBE level.

Summary:
The symmetry is I-4. For the spin magnetization, the calculation gives 0.0 μB/cell. Its formation energy is -299 meV/atom. As for the calculated total energy: -3.458 eV per atom. As for the density of states at the Fermi level: 0.7977 states/eV/atom.

Cell: 8.609 8.609 8.609 Å, 108.83 108.83 110.76°
Fractional positions:
Ac 0.000 0.000 0.000
Ac 0.133 0.257 0.647
Ac 0.514 0.867 0.124
Ac 0.610 0.486 0.353
Ac 0.743 0.390 0.876
Pm 0.250 0.750 0.500
Tl 0.042 0.631 0.735
Tl 0.193 0.473 0.098
Tl 0.369 0.104 0.411
Tl 0.376 0.096 0.902
Tl 0.527 0.624 0.720
Tl 0.693 0.958 0.589
Tl 0.896 0.307 0.265
Tl 0.904 0.807 0.280

Question: The lowest calculated total energy belongs to which entry?
Answer: TbTcB3